1.
RbLa2HfGa, relaxed, DFT PBE; total DFT energy (no corrections) = -4.257 eV per atom; formation enthalpy at 0 K = 0.504 eV/atom; SG = P4/mmm, No. 123
1.0
-4.248 -4.441 0.016
2.275 -2.159 4.844
-3.722 3.572 3.340
La Hf Rb Ga
2 1 1 1
direct
0.500 0.000 0.000 La
0.000 0.000 0.500 La
0.000 0.000 0.000 Hf
0.500 0.500 0.500 Rb
0.000 0.500 0.000 Ga



2.
LaHfGaRe2, relaxed, DFT PBE; total DFT energy (no corrections) = -6.218 eV per atom; formation enthalpy at 0 K = 2.342 eV/atom; SG = P4/mmm, No. 123
1.0
-1.950 1.460 4.138
-0.063 -4.943 1.714
4.388 0.589 1.859
Hf Ga La Re
1 1 1 2
direct
0.000 0.500 0.000 Hf
0.500 0.500 0.500 Ga
0.000 0.000 0.000 La
0.000 0.000 0.500 Re
0.500 0.000 0.000 Re



3.
LaHfGa2Tc, relaxed, DFT PBE; total DFT energy (no corrections) = -4.889 eV per atom; formation enthalpy at 0 K = 1.371 eV/atom; SG = P4/mmm, No. 123
1.0
5.313 0.000 0.000
0.000 4.701 0.000
0.000 0.000 5.313
La Ga Tc Hf
1 2 1 1
direct
0.000 0.000 0.000 La
0.000 0.000 0.500 Ga
0.500 0.000 0.000 Ga
0.000 0.500 0.000 Tc
0.500 0.500 0.500 Hf



4.
LaHfGa2Te, relaxed, DFT PBE; total DFT energy (no corrections) = -3.773 eV per atom; raw formation energy = 1.0419 eV per atom; SG = P4/mmm, No. 123
1.0
-3.481 -3.721 -2.305
1.888 -3.885 3.420
-3.936 1.371 3.730
Ga La Te Hf
2 1 1 1
direct
0.000 0.000 0.500 Ga
0.500 0.000 0.000 Ga
0.000 0.000 0.000 La
0.500 0.500 0.500 Te
0.000 0.500 0.000 Hf



5.
La2HfTlGa, relaxed, DFT PBE; total DFT energy (no corrections) = -4.881 eV per atom; formation enthalpy at 0 K = 0.160 eV/atom; SG = P4/mmm, No. 123
1.0
-1.030 3.258 4.688
4.048 -2.237 2.444
3.527 4.109 -2.081
Tl Hf La Ga
1 1 2 1
direct
0.500 0.500 0.500 Tl
0.000 0.500 0.000 Hf
0.500 0.000 0.000 La
0.000 0.000 0.500 La
0.000 0.000 0.000 Ga



6.
LiHfGa, relaxed, DFT PBE; total DFT energy (no corrections) = -5.127 eV per atom; formation enthalpy at 0 K = -0.163 eV/atom; excess energy over the best structure of this formula in the dataset = 0.43 eV per formula unit; SG = P-1, No. 2
1.0
4.821 0.021 0.007
-0.039 3.042 0.003
-0.056 1.008 7.564
Li Ga Hf
2 2 2
direct
0.500 0.265 0.663 Li
0.500 0.735 0.337 Li
0.000 0.500 0.500 Ga
0.500 0.500 0.000 Ga
0.001 0.822 0.832 Hf
0.999 0.178 0.168 Hf



7.
LiHfGa, relaxed, DFT PBE; total DFT energy (no corrections) = -5.272 eV per atom; formation enthalpy at 0 K = -0.308 eV/atom; excess energy over the best structure of this formula in the dataset = 0.00 eV per formula unit; SG = Pmmn, No. 59
1.0
4.221 0.000 0.000
0.000 7.867 0.000
0.000 0.000 3.229
Li Hf Ga
2 2 2
direct
0.500 0.473 0.500 Li
0.000 0.527 0.000 Li
0.500 0.117 0.000 Hf
0.000 0.883 0.500 Hf
0.000 0.251 0.500 Ga
0.500 0.749 0.000 Ga



8.
Li2HfGa4, relaxed, DFT PBE; total DFT energy (no corrections) = -3.978 eV per atom; formation enthalpy at 0 K = -0.280 eV/atom; SG = I4/mmm, No. 139
1.0
5.185 -0.092 -1.881
-2.611 4.532 -1.754
-0.053 0.092 5.515
Li Ga Hf
2 4 1
direct
0.500 0.000 0.500 Li
0.500 0.500 0.000 Li
0.500 0.500 0.500 Ga
0.000 0.500 0.000 Ga
0.500 0.000 0.000 Ga
0.000 0.000 0.500 Ga
0.000 0.000 0.000 Hf



9.
Li4HfGa5, relaxed, DFT PBE; total DFT energy (no corrections) = -3.578 eV per atom; formation enthalpy at 0 K = -0.303 eV/atom; SG = P4/mmm, No. 123
1.0
3.042 0.000 0.000
0.000 3.042 0.000
0.000 0.000 17.432
Ga Li Hf
5 4 1
direct
0.500 0.500 0.888 Ga
0.500 0.500 0.500 Ga
0.500 0.500 0.706 Ga
0.500 0.500 0.294 Ga
0.500 0.500 0.112 Ga
0.000 0.000 0.798 Li
0.000 0.000 0.605 Li
0.000 0.000 0.202 Li
0.000 0.000 0.395 Li
0.000 0.000 0.000 Hf



10.
LiHfGa, relaxed, DFT PBE; total DFT energy (no corrections) = -5.128 eV per atom; formation enthalpy at 0 K = -0.163 eV/atom; excess energy over the best structure of this formula in the dataset = 0.43 eV per formula unit; SG = Pmm2, No. 25
1.0
4.316 0.000 0.000
0.000 3.228 0.000
0.000 0.000 7.567
Li Ga Hf
2 2 2
direct
0.500 0.000 0.494 Li
0.500 0.500 0.225 Li
0.000 0.000 0.305 Ga
0.000 0.500 0.015 Ga
0.500 0.000 0.874 Hf
0.000 0.500 0.644 Hf



11.
LiHfGa, relaxed, DFT PBE; total DFT energy (no corrections) = -5.154 eV per atom; formation enthalpy at 0 K = -0.189 eV/atom; excess energy over the best structure of this formula in the dataset = 0.36 eV per formula unit; SG = P4mm, No. 99
1.0
3.258 0.000 0.000
0.000 3.258 0.000
0.000 0.000 9.971
Li Ga Hf
2 2 2
direct
0.000 0.000 0.057 Li
0.000 0.000 0.334 Li
0.500 0.500 0.179 Ga
0.500 0.500 0.472 Ga
0.000 0.000 0.656 Hf
0.500 0.500 0.859 Hf



12.
LiHfGa2, relaxed, DFT PBE; total DFT energy (no corrections) = -4.727 eV per atom; formation enthalpy at 0 K = -0.246 eV/atom; excess energy over the best structure of this formula in the dataset = 0.61 eV per formula unit; SG = Fm-3m, No. 225
1.0
0.000 3.260 3.260
3.260 0.000 3.260
3.260 3.260 0.000
Hf Ga Li
1 2 1
direct
0.500 0.500 0.500 Hf
0.750 0.750 0.750 Ga
0.250 0.250 0.250 Ga
0.000 0.000 0.000 Li



13.
LiHfGa2, relaxed, DFT PBE; total DFT energy (no corrections) = -4.828 eV per atom; formation enthalpy at 0 K = -0.347 eV/atom; excess energy over the best structure of this formula in the dataset = 0.21 eV per formula unit; SG = P4/mmm, No. 123
1.0
-2.965 -0.166 -1.261
1.275 -3.692 -2.512
-1.314 -2.808 3.458
Li Hf Ga
1 1 2
direct
0.500 0.000 0.000 Li
0.500 0.500 0.500 Hf
0.000 0.000 0.500 Ga
0.000 0.500 0.000 Ga



14.
LiHfGa5, relaxed, DFT PBE; total DFT energy (no corrections) = -4.105 eV per atom; formation enthalpy at 0 K = -0.248 eV/atom; SG = P4/mmm, No. 123
1.0
4.280 0.000 0.000
0.000 4.280 0.000
0.000 0.000 6.559
Ga Li Hf
5 1 1
direct
0.500 0.000 0.703 Ga
0.500 0.000 0.297 Ga
0.000 0.500 0.703 Ga
0.500 0.500 0.000 Ga
0.000 0.500 0.297 Ga
0.000 0.000 0.500 Li
0.000 0.000 0.000 Hf



15.
LiHfGa, relaxed, DFT PBE; total DFT energy (no corrections) = -4.901 eV per atom; formation enthalpy at 0 K = 0.063 eV/atom; excess energy over the best structure of this formula in the dataset = 1.11 eV per formula unit; SG = F-43m, No. 216
1.0
0.000 3.114 3.114
3.114 0.000 3.114
3.114 3.114 0.000
Hf Ga Li
1 1 1
direct
0.750 0.750 0.750 Hf
0.000 0.000 0.000 Ga
0.250 0.250 0.250 Li



16.
LiHfGa, relaxed, DFT PBE; total DFT energy (no corrections) = -5.149 eV per atom; formation enthalpy at 0 K = -0.185 eV/atom; excess energy over the best structure of this formula in the dataset = 0.37 eV per formula unit; SG = Cm, No. 8
1.0
9.025 0.000 -0.003
4.034 1.593 -3.724
-4.034 1.593 3.724
Ga Hf Li
2 2 2
direct
0.637 0.965 0.035 Ga
0.014 0.597 0.403 Ga
0.326 0.789 0.211 Hf
0.004 0.327 0.673 Hf
0.723 0.175 0.825 Li
0.370 0.502 0.498 Li



17.
LiHfGa, relaxed, DFT PBE; total DFT energy (no corrections) = -5.218 eV per atom; formation enthalpy at 0 K = -0.253 eV/atom; excess energy over the best structure of this formula in the dataset = 0.16 eV per formula unit; SG = P6_3/mmc, No. 194
1.0
4.069 -2.349 0.000
0.000 4.699 0.000
0.000 0.000 5.545
Li Hf Ga
2 2 2
direct
0.000 0.000 0.500 Li
0.000 0.000 0.000 Li
0.333 0.667 0.250 Hf
0.667 0.333 0.750 Hf
0.333 0.667 0.750 Ga
0.667 0.333 0.250 Ga



18.
LiHfGa2, relaxed, DFT PBE; total DFT energy (no corrections) = -4.848 eV per atom; formation enthalpy at 0 K = -0.368 eV/atom; excess energy over the best structure of this formula in the dataset = 0.12 eV per formula unit; SG = P4/mmm, No. 123
1.0
-0.997 2.304 1.855
-2.170 0.760 -2.110
-4.361 -4.262 2.949
Ga Hf Li
2 1 1
direct
0.000 0.000 0.219 Ga
0.000 0.000 0.781 Ga
0.500 0.500 0.500 Hf
0.500 0.500 0.000 Li



19.
Li2HfGa, relaxed, DFT PBE; total DFT energy (no corrections) = -4.070 eV per atom; formation enthalpy at 0 K = 0.132 eV/atom; SG = R-3m, No. 166
1.0
2.903 0.000 0.000
1.451 2.514 0.000
1.451 0.838 10.493
Ga Li Hf
1 2 1
direct
0.500 0.500 0.500 Ga
0.908 0.908 0.277 Li
0.092 0.092 0.723 Li
0.000 0.000 0.000 Hf



20.
LiHfGa2, relaxed, DFT PBE; total DFT energy (no corrections) = -4.529 eV per atom; formation enthalpy at 0 K = -0.049 eV/atom; excess energy over the best structure of this formula in the dataset = 1.40 eV per formula unit; SG = I-42d, No. 122
1.0
7.015 0.000 0.000
0.000 7.015 0.000
3.508 3.508 2.888
Ga Li Hf
4 2 2
direct
0.875 0.840 0.750 Ga
0.375 0.410 0.750 Ga
0.590 0.125 0.250 Ga
0.160 0.625 0.250 Ga
0.500 0.500 0.000 Li
0.250 0.750 0.500 Li
0.750 0.250 0.500 Hf
0.000 0.000 0.000 Hf